Ta3AsAu | the Alexandria database | PBE | relaxed; calculated total energy = -7.794 eV/atom; excess energy over the best structure of this formula in the dataset = 0.0000 eV per atom; space group = Pm-3m (221)
1.0
4.708 0.000 0.000
0.000 4.708 0.000
0.000 0.000 4.708
Au As Ta
1 1 3
direct
0.500 0.500 0.500
0.000 0.000 0.000
0.500 0.000 0.000
0.000 0.000 0.500
0.000 0.500 0.000



TaAsAu2 | the Alexandria database | PBE | relaxed; calculated total energy = -5.587 eV/atom; space group = F-43m (216)
1.0
-2.875 -3.349 1.474
-1.963 -2.898 -3.066
1.333 -4.455 -0.175
As Ta Au
1 1 2
direct
0.500 0.500 0.500
0.750 0.750 0.750
0.000 0.000 0.000
0.250 0.250 0.250



TaAsAu | the Alexandria database | PBE | relaxed; calculated total energy = -6.269 eV/atom; space group = F-43m (216)
1.0
4.352 0.000 0.000
2.176 3.769 0.000
2.176 1.256 3.554
Ta Au As
1 1 1
direct
0.500 0.500 0.500
0.000 0.000 0.000
0.750 0.750 0.750



Number 1: density of states at the Fermi level 1.20 states/eV/atom, energy relative to the elements 0.90 eV per atom. Number 2: density of states at the Fermi level 0.96 states/eV/atom, energy relative to the elements 0.18 eV per atom. Number 3: density of states at the Fermi level 0.95 states/eV/atom, energy relative to the elements 0.32 eV per atom.